CeCuSi2Ni | SCAN | single point on PBEsol structure

```
CeCuSi2Ni
1.0
-1.998 1.998 4.791
1.998 -1.998 4.791
1.998 1.998 -4.791
Ce Cu Si Ni
1 1 2 1
direct
0.000 0.000 0.000
0.750 0.250 0.500
0.376 0.376 0.000
0.624 0.624 0.000
0.250 0.750 0.500
```

The raw formation energy comes out at -0.70 eV per atom. As for the crystal system: tetragonal. The calculated total energy is -19.893 eV per atom. For the density of states at the Fermi level, the calculation gives 2.72 states/eV per cell.